1.
# PuGa2Br5

A relaxed PuGa2Br5 crystal (PBE, Alexandria via LeMat-Bulk).

Cell lengths 5.624, 7.573, 9.050 Å; angles 83.37, 71.90, 68.20 degrees
Fractional coordinates of all 8 atoms:
Ga 0.731 0.500 0.039
Br 0.760 0.229 0.250
Br 0.240 0.771 0.750
Ga 0.269 0.500 0.961
Br 0.000 0.500 0.500
Pu 0.500 0.500 0.500
Br 0.510 0.229 0.750
Br 0.490 0.771 0.250

Output
Calculated total energy in eV per atom: -4.594
Raw formation energy in meV per atom: -1000
Total magnetization in μB per cell: 4.97

2.
# BaThIn2

A relaxed BaThIn2 crystal (PBE, Alexandria via LeMat-Bulk).

Cell lengths 3.489, 6.079, 6.079 Å; angles 90.00, 90.00, 90.00 degrees
Fractional coordinates of all 4 atoms:
In 0.000 0.000 0.500
Th 0.500 0.000 0.000
In 0.000 0.500 0.000
Ba 0.500 0.500 0.500

Output
Formation enthalpy at 0 K in meV/atom: -215
Calculated total energy in eV per atom: -3.920
Total magnetization in μB per cell: 0.00

3.
# MgCu2AsS4

A relaxed MgCu2AsS4 crystal (PBE, Alexandria via LeMat-Bulk).

Cell lengths 5.522, 5.522, 6.662 Å; angles 114.48, 114.48, 90.01 degrees
Fractional coordinates of all 8 atoms:
Cu 0.750 0.250 0.500
S 0.119 0.119 0.728
Mg 0.000 0.000 0.000
S 0.881 0.392 0.272
S 0.392 0.881 0.272
S 0.608 0.608 0.728
As 0.500 0.500 0.000
Cu 0.250 0.750 0.500

Output
Calculated total energy in eV per atom: -4.296
Raw formation energy in meV per atom: -428
Total magnetization in μB per cell: 0.00

4.
# HfTlO2F

A relaxed HfTlO2F crystal (PBE, Alexandria via LeMat-Bulk).

Cell lengths 4.313, 4.313, 4.381 Å; angles 90.00, 90.00, 90.00 degrees
Fractional coordinates of all 5 atoms:
Hf 0.500 0.500 0.500
O 0.500 0.000 0.000
O 0.000 0.500 0.000
Tl 0.000 0.000 0.000
F 0.000 0.000 0.500

Output
Calculated total energy in eV per atom: -5.187
Raw formation energy in meV per atom: -365
Total magnetization in μB per cell: 1.64

5.
# Ac3Si4Au2

A relaxed Ac3Si4Au2 crystal (PBE, Alexandria via LeMat-Bulk).

Cell lengths 4.407, 6.328, 8.907 Å; angles 109.11, 90.00, 110.38 degrees
Fractional coordinates of all 9 atoms:
Si 0.876 0.753 0.591
Si 0.124 0.247 0.409
Au 0.327 0.655 0.691
Si 0.270 0.539 0.946
Ac 0.385 0.770 0.319
Si 0.730 0.461 0.054
Au 0.673 0.345 0.309
Ac 0.000 0.000 0.000
Ac 0.615 0.230 0.681

Output
Calculated total energy in eV per atom: -5.132
Relative energy among the computed polymorphs in meV per atom: 136
Raw formation energy in meV per atom: -624
Total magnetization in μB per cell: 0.00

6.
# KZr2Au

A relaxed KZr2Au crystal (PBE, Alexandria via LeMat-Bulk).

Cell lengths 5.713, 5.713, 5.713 Å; angles 134.19, 134.19, 66.80 degrees
Fractional coordinates of all 4 atoms:
Au 0.500 0.500 0.000
Zr 0.250 0.750 0.500
K 0.750 0.250 0.500
Zr 0.000 0.000 0.000

Output
Formation enthalpy at 0 K in meV/atom: 642
Calculated total energy in eV per atom: -4.726
Relative energy among the computed polymorphs in meV per atom: 681
Total magnetization in μB per cell: 0.00

7.
# BaUAs2Pt2

A relaxed BaUAs2Pt2 crystal (PBE, Alexandria via LeMat-Bulk).

Cell lengths 4.349, 4.349, 8.569 Å; angles 90.00, 90.00, 120.00 degrees
Fractional coordinates of all 6 atoms:
U 0.000 0.000 0.500
Pt 0.333 0.667 0.313
Pt 0.667 0.333 0.687
As 0.667 0.333 0.262
As 0.333 0.667 0.738
Ba 0.000 0.000 0.000

Output
Formation enthalpy at 0 K in meV/atom: -912
Calculated total energy in eV per atom: -6.678
Total magnetization in μB per cell: 2.10

8.
# Pr2Nd2Sc

A relaxed Pr2Nd2Sc crystal (PBE, Alexandria via LeMat-Bulk).

Cell lengths 6.413, 6.413, 9.307 Å; angles 106.68, 110.48, 94.35 degrees
Fractional coordinates of all 10 atoms:
Sc 0.320 0.070 0.750
Sc 0.680 0.930 0.250
Nd 0.213 0.787 0.344
Pr 0.807 0.677 0.544
Nd 0.787 0.213 0.656
Pr 0.193 0.323 0.456
Nd 0.443 0.369 0.156
Pr 0.867 0.237 0.044
Pr 0.133 0.763 0.956
Nd 0.557 0.631 0.844

Output
Formation enthalpy at 0 K in meV/atom: 138
Calculated total energy in eV per atom: -4.947
Relative energy among the computed polymorphs in meV per atom: 0
Total magnetization in μB per cell: 0.00